Below is a geometry-optimized CsMnAgS3 structure, with properties calculated at the GGA-PBE level.

Unit cell a=12.954 b=7.464 c=7.628 alpha=90.00 beta=103.71 gamma=90.00
Space group C2/m (No. 12)
One atom of each set of equivalent atoms:
Cs (0.183, 0.000, 0.220) (multiplicity 4)
Mn (0.005, 0.500, 0.166) (multiplicity 4)
Ag (0.000, 0.300, 0.500) (multiplicity 4)
S (0.077, 0.259, 0.815) (multiplicity 8)
S (0.166, 0.500, 0.281) (multiplicity 4)

ΔE_f (raw)   -488 meV/atom

Below is a geometry-optimized Cs2ScMnAg structure, with properties calculated at the GGA-PBE level.

Unit cell a=7.207 b=7.207 c=4.772 alpha=90.00 beta=90.00 gamma=90.00
Space group P4/mmm (No. 123)
One atom of each set of equivalent atoms:
Cs (0.000, 0.500, 0.000) (multiplicity 2)
Sc (0.000, 0.000, 0.000) (multiplicity 1)
Mn (0.000, 0.000, 0.500) (multiplicity 1)
Ag (0.500, 0.500, 0.500) (multiplicity 1)

Formation energy from the elements   989 meV per atom

Below is a geometry-optimized CsMnAgTe3 structure, with properties calculated at the GGA-PBE level.

Unit cell a=9.431 b=4.174 c=10.949 alpha=90.00 beta=114.35 gamma=90.00
Space group P2_1/m (No. 11)
One atom of each set of equivalent atoms:
Cs (0.245, 0.250, 0.282) (multiplicity 2)
Mn (0.314, 0.750, 0.849) (multiplicity 2)
Ag (0.063, 0.250, 0.600) (multiplicity 2)
Te (0.135, 0.250, 0.877) (multiplicity 2)
Te (0.264, 0.750, 0.585) (multiplicity 2)
Te (0.482, 0.750, 0.122) (multiplicity 2)

ΔE_f (raw)   -403 meV/atom

Below is a geometry-optimized CsMnAg2Te structure, with properties calculated at the GGA-PBE level.

Unit cell a=5.459 b=5.459 c=7.362 alpha=90.00 beta=90.00 gamma=90.00
Space group P4/mmm (No. 123)
One atom of each set of equivalent atoms:
Cs (0.000, 0.000, 0.000) (multiplicity 1)
Mn (0.500, 0.500, 0.000) (multiplicity 1)
Ag (0.000, 0.500, 0.500) (multiplicity 2)
Te (0.000, 0.000, 0.500) (multiplicity 1)

ΔE_f (raw)   610 meV/atom